1.
! Ac9NdDy2, optimized geometry, DFT PBE-GGA; values from VASP
! Space group: P4/mmm
! ΔH_f (0 K): 0.7 kcal/mol of atoms
&SYSTEM
  ibrav = 0, nat = 12, ntyp = 3
/
ATOMIC_SPECIES
Ac 227.00 Ac.upf
Nd 144.24 Nd.upf
Dy 162.50 Dy.upf
CELL_PARAMETERS angstrom
5.4986 0.0000 0.0000
0.0000 5.4986 0.0000
0.0000 0.0000 16.5155
ATOMIC_POSITIONS angstrom
Ac 0.0000 0.0000 0.0000
Ac 0.0000 0.0000 5.5204
Ac 0.0000 0.0000 10.9951
Ac 0.0000 2.7493 2.7820
Ac 0.0000 2.7493 8.2578
Ac 0.0000 2.7493 13.7335
Ac 2.7493 0.0000 2.7820
Ac 2.7493 0.0000 8.2578
Ac 2.7493 0.0000 13.7335
Nd 2.7493 2.7493 0.0000
Dy 2.7493 2.7493 5.5212
Dy 2.7493 2.7493 10.9944


2.
! NdDy3Y2Te6, optimized geometry, DFT PBE-GGA; values from VASP
! E_form (uncorrected): -1.31 eV/atom
! Space group: C2/m
&SYSTEM
  ibrav = 0, nat = 12, ntyp = 4
/
ATOMIC_SPECIES
Nd 144.24 Nd.upf
Dy 162.50 Dy.upf
Y 88.91 Y.upf
Te 127.60 Te.upf
CELL_PARAMETERS angstrom
9.5525 -2.1801 0.0000
9.5525 2.1801 0.0000
-2.0137 0.0000 8.5785
ATOMIC_POSITIONS angstrom
Nd 0.0000 0.0000 0.0000
Dy -1.0069 0.0000 4.2893
Dy 6.1164 0.0000 1.4307
Dy 10.9748 0.0000 7.1478
Y 5.0674 0.0000 5.7557
Y 12.0238 0.0000 2.8228
Te 2.0275 0.0000 5.0097
Te 3.1065 0.0000 0.7269
Te 8.0467 0.0000 6.3587
Te 9.0445 0.0000 2.2198
Te 13.9847 0.0000 7.8517
Te 15.0637 0.0000 3.5688


3.
! Sn3AsPt, optimized geometry, DFT PBE-GGA; values from VASP
! Relative energy among the computed polymorphs: 645.4 meV per atom
! Space group: Pm-3m
! ΔH_f (0 K): 18.3 kcal/mol of atoms
&SYSTEM
  ibrav = 0, nat = 5, ntyp = 3
/
ATOMIC_SPECIES
Sn 118.71 Sn.upf
As 74.92 As.upf
Pt 195.08 Pt.upf
CELL_PARAMETERS angstrom
5.2699 0.0000 0.0000
0.0000 5.2699 0.0000
0.0000 0.0000 5.2699
ATOMIC_POSITIONS angstrom
Sn 0.0000 0.0000 2.6350
Sn 0.0000 2.6350 0.0000
Sn 2.6350 0.0000 0.0000
As 0.0000 0.0000 0.0000
Pt 2.6350 2.6350 2.6350


4.
! LiGa2FeRu, optimized geometry, DFT PBE-GGA; values from VASP
! Space group: P4/mmm
! ΔH_f (0 K): 17.1 kcal/mol of atoms
&SYSTEM
  ibrav = 0, nat = 5, ntyp = 4
/
ATOMIC_SPECIES
Li 6.94 Li.upf
Ga 69.72 Ga.upf
Fe 55.84 Fe.upf
Ru 101.07 Ru.upf
CELL_PARAMETERS angstrom
4.4467 0.0000 0.0000
0.0000 4.4467 0.0000
0.0000 0.0000 4.1080
ATOMIC_POSITIONS angstrom
Li 0.0000 0.0000 0.0000
Ga 0.0000 2.2233 2.0540
Ga 2.2233 0.0000 2.0540
Fe 0.0000 0.0000 2.0540
Ru 2.2233 2.2233 0.0000


5.
! CsCuSe3, optimized geometry, DFT PBE-GGA; values from VASP
! E_form (uncorrected): -0.45 eV/atom
! Relative energy among the computed polymorphs: 29.2 meV per atom
! Space group: P-1
&SYSTEM
  ibrav = 0, nat = 10, ntyp = 3
/
ATOMIC_SPECIES
Cs 132.91 Cs.upf
Cu 63.55 Cu.upf
Se 78.96 Se.upf
CELL_PARAMETERS angstrom
6.2835 0.0000 0.0000
-2.9382 7.7117 0.0000
-2.7586 -2.9777 7.2667
ATOMIC_POSITIONS angstrom
Cs -0.8196 2.8225 1.8723
Cs 1.4063 1.9116 5.3944
Cu -0.6206 -1.9980 5.1722
Cu 1.2072 6.7321 2.0945
Se -1.8252 -0.1719 4.2843
Se -1.8582 4.0675 5.3765
Se -0.4145 -0.9143 7.2475
Se 1.0011 5.6484 0.0192
Se 2.4449 0.6665 1.8903
Se 2.4119 4.9059 2.9825


6.
! ZrZnCuRh, optimized geometry, DFT PBE-GGA; values from VASP
! Relative energy among the computed polymorphs: 0.0 meV per atom
! Space group: I-4m2
! ΔH_f (0 K): -9.4 kcal/mol of atoms
&SYSTEM
  ibrav = 0, nat = 4, ntyp = 4
/
ATOMIC_SPECIES
Zr 91.22 Zr.upf
Zn 65.41 Zn.upf
Cu 63.55 Cu.upf
Rh 102.91 Rh.upf
CELL_PARAMETERS angstrom
-2.0251 2.0251 3.8025
2.0251 -2.0251 3.8025
2.0251 2.0251 -3.8025
ATOMIC_POSITIONS angstrom
Zr 0.0000 0.0000 0.0000
Zn 0.0000 0.0000 3.8025
Cu 2.0251 0.0000 1.9013
Rh 0.0000 2.0251 1.9013


7.
! SrCo, optimized geometry, DFT PBE-GGA; values from VASP
! Space group: I4/mmm
! ΔH_f (0 K): 7.7 kcal/mol of atoms
&SYSTEM
  ibrav = 0, nat = 8, ntyp = 2
/
ATOMIC_SPECIES
Sr 87.62 Sr.upf
Co 58.93 Co.upf
CELL_PARAMETERS angstrom
-5.5648 5.5648 2.0053
5.5648 -5.5648 2.0053
5.5648 5.5648 -2.0053
ATOMIC_POSITIONS angstrom
Sr 2.8964 0.0000 0.0000
Sr 8.2331 0.0000 0.0000
Sr 0.0000 2.8964 0.0000
Sr 0.0000 8.2331 0.0000
Co 3.0916 3.0916 0.0000
Co 2.4732 -2.4732 2.0053
Co -2.4732 2.4732 2.0053
Co 2.4732 2.4732 2.0053


8.
! VRuAu3, optimized geometry, DFT PBE-GGA; values from VASP
! Relative energy among the computed polymorphs: 0.0 meV per atom
! Space group: Pm-3m
! ΔH_f (0 K): 30.4 kcal/mol of atoms
&SYSTEM
  ibrav = 0, nat = 5, ntyp = 3
/
ATOMIC_SPECIES
V 50.94 V.upf
Ru 101.07 Ru.upf
Au 196.97 Au.upf
CELL_PARAMETERS angstrom
4.9909 0.0000 0.0000
0.0000 4.9909 0.0000
0.0000 0.0000 4.9909
ATOMIC_POSITIONS angstrom
V 0.0000 0.0000 0.0000
Ru 2.4954 2.4954 2.4954
Au 0.0000 2.4954 2.4954
Au 2.4954 0.0000 2.4954
Au 2.4954 2.4954 0.0000


9.
! SmDy6Er4, optimized geometry, DFT PBE-GGA; values from VASP
! Relative energy among the computed polymorphs: 307.0 meV per atom
! Space group: I-42m
! ΔH_f (0 K): 10.0 kcal/mol of atoms
&SYSTEM
  ibrav = 0, nat = 11, ntyp = 3
/
ATOMIC_SPECIES
Sm 150.36 Sm.upf
Dy 162.50 Dy.upf
Er 167.26 Er.upf
CELL_PARAMETERS angstrom
-3.7512 3.7512 6.6218
3.7512 -3.7512 6.6218
3.7512 3.7512 -6.6218
ATOMIC_POSITIONS angstrom
Sm 0.0000 0.0000 0.0000
Dy 3.7512 0.0000 0.0000
Dy 1.9717 -1.9717 4.1530
Dy 1.7795 1.7795 2.4688
Dy 0.0000 3.7512 0.0000
Dy -1.9717 1.9717 4.1530
Dy 1.9717 1.9717 9.0907
Er 2.5331 2.5331 -1.0505
Er 1.2180 -1.2180 7.6723
Er 1.2180 1.2180 5.5713
Er -1.2180 1.2180 7.6723


10.
! Pm3Sn2Br2, optimized geometry, DFT PBE-GGA; values from VASP
! E_form (uncorrected): -0.88 eV/atom
! Space group: P-1
&SYSTEM
  ibrav = 0, nat = 7, ntyp = 3
/
ATOMIC_SPECIES
Pm 145.00 Pm.upf
Sn 118.71 Sn.upf
Br 79.90 Br.upf
CELL_PARAMETERS angstrom
3.7268 0.0000 0.0000
1.8599 7.2170 0.0000
0.0093 1.2507 7.7926
ATOMIC_POSITIONS angstrom
Pm 0.0000 0.0000 0.0000
Pm 1.8696 4.2458 5.5575
Pm 3.7264 4.2219 2.2351
Sn 1.8575 6.5736 3.2009
Sn 3.7385 1.8940 4.5917
Br 1.8621 2.2296 0.7401
Br 3.7339 6.2381 7.0525


11.
! ZrTe2Rh, optimized geometry, DFT PBE-GGA; values from VASP
! E_form (uncorrected): -0.27 eV/atom
! Relative energy among the computed polymorphs: 453.5 meV per atom
! Space group: C2/m
&SYSTEM
  ibrav = 0, nat = 4, ntyp = 3
/
ATOMIC_SPECIES
Zr 91.22 Zr.upf
Te 127.60 Te.upf
Rh 102.91 Rh.upf
CELL_PARAMETERS angstrom
3.7987 -1.9072 0.0000
3.7987 1.9072 0.0000
-1.8253 0.0000 6.3879
ATOMIC_POSITIONS angstrom
Zr 0.0000 0.0000 0.0000
Te 0.5483 0.0000 4.6297
Te 5.2238 0.0000 1.7582
Rh 2.8861 0.0000 3.1939


12.
! Hg6BiSbI2, optimized geometry, DFT PBE-GGA; values from VASP
! E_form (uncorrected): -0.07 eV/atom
! Space group: C2/m
&SYSTEM
  ibrav = 0, nat = 10, ntyp = 4
/
ATOMIC_SPECIES
Hg 200.59 Hg.upf
Bi 208.98 Bi.upf
Sb 121.76 Sb.upf
I 126.90 I.upf
CELL_PARAMETERS angstrom
6.8382 -4.1660 0.0000
6.8382 4.1660 0.0000
-4.6565 0.0000 6.5228
ATOMIC_POSITIONS angstrom
Hg 2.8661 2.1148 4.5801
Hg 2.7953 0.0000 0.8089
Hg 6.1538 2.1148 1.9427
Hg 2.8661 -2.1148 4.5801
Hg 6.2246 0.0000 5.7139
Hg 6.1538 -2.1148 1.9427
Bi 4.5100 0.0000 3.2614
Sb 0.0000 0.0000 0.0000
I -0.0172 0.0000 4.8056
I 9.0371 0.0000 1.7172


13.
! Ti2TlTc, optimized geometry, DFT PBE-GGA; values from VASP
! Space group: P4/mmm
! ΔH_f (0 K): -5.4 kcal/mol of atoms
&SYSTEM
  ibrav = 0, nat = 4, ntyp = 3
/
ATOMIC_SPECIES
Ti 47.87 Ti.upf
Tl 204.38 Tl.upf
Tc 98.00 Tc.upf
CELL_PARAMETERS angstrom
3.2039 0.0000 0.0000
0.0000 3.2039 0.0000
0.0000 0.0000 6.8059
ATOMIC_POSITIONS angstrom
Ti 0.0000 0.0000 1.4310
Ti 0.0000 0.0000 5.3749
Tl 1.6020 1.6020 3.4030
Tc 1.6020 1.6020 0.0000


14.
! Ga8Pt3Au2, optimized geometry, DFT PBE-GGA; values from VASP
! Space group: P2/m
! ΔH_f (0 K): -9.3 kcal/mol of atoms
&SYSTEM
  ibrav = 0, nat = 13, ntyp = 3
/
ATOMIC_SPECIES
Ga 69.72 Ga.upf
Pt 195.08 Pt.upf
Au 196.97 Au.upf
CELL_PARAMETERS angstrom
7.6525 0.0000 0.0000
0.0000 4.2897 0.0000
-2.8752 0.0000 7.1690
ATOMIC_POSITIONS angstrom
Ga -0.2305 0.0000 2.7919
Ga -1.5886 2.1449 6.2610
Ga 0.9839 2.1449 4.4800
Ga 2.4396 0.0000 0.9582
Ga 2.3376 0.0000 6.2108
Ga 3.7933 2.1449 2.6890
Ga 6.3659 2.1449 0.9080
Ga 5.0078 0.0000 4.3771
Pt -0.2569 0.0000 5.4337
Pt 3.8262 2.1449 0.0000
Pt 5.0341 0.0000 1.7353
Au 1.1230 2.1449 1.8921
Au 3.6543 2.1449 5.2769


15.
! CaAlGa, optimized geometry, DFT PBE-GGA; values from VASP
! Space group: Cmcm
! ΔH_f (0 K): -5.2 kcal/mol of atoms
&SYSTEM
  ibrav = 0, nat = 6, ntyp = 3
/
ATOMIC_SPECIES
Ca 40.08 Ca.upf
Al 26.98 Al.upf
Ga 69.72 Ga.upf
CELL_PARAMETERS angstrom
2.0427 -8.1318 0.0000
2.0427 8.1318 0.0000
0.0000 0.0000 4.2191
ATOMIC_POSITIONS angstrom
Ca 2.0427 6.4801 3.1643
Ca 2.0427 -6.4801 1.0548
Al 2.0427 3.4503 3.1643
Al 2.0427 -3.4503 1.0548
Ga 2.0427 0.7491 3.1643
Ga 2.0427 -0.7491 1.0548


16.
! Li4Pm3ThTe8, optimized geometry, DFT PBE-GGA; values from VASP
! E_form (uncorrected): -1.25 eV/atom
! Space group: R-3m
&SYSTEM
  ibrav = 0, nat = 16, ntyp = 4
/
ATOMIC_SPECIES
Li 6.94 Li.upf
Pm 145.00 Pm.upf
Th 232.04 Th.upf
Te 127.60 Te.upf
CELL_PARAMETERS angstrom
4.4028 2.5419 7.1219
-4.4028 2.5419 7.1219
0.0000 -5.0839 7.1219
ATOMIC_POSITIONS angstrom
Li 0.0000 0.0000 0.0000
Li -2.2014 -1.2710 7.1219
Li -2.2014 1.2710 14.2437
Li 0.0000 2.5419 7.1219
Pm -4.4028 0.0000 10.6828
Pm -2.2014 1.2710 3.5609
Pm 2.2014 1.2710 3.5609
Th 0.0000 0.0000 10.6828
Te 0.0000 -2.5304 8.8027
Te -2.1914 1.2652 8.8027
Te 0.0000 0.0000 5.4346
Te -2.1914 -1.2652 12.5629
Te 2.1914 1.2652 8.8027
Te 0.0000 0.0000 15.9311
Te 2.1914 -1.2652 12.5629
Te 0.0000 2.5304 12.5629


17.
! Pm5C2N, optimized geometry, DFT PBE-GGA; values from VASP
! E_form (uncorrected): -0.31 eV/atom
! Space group: Cmcm
&SYSTEM
  ibrav = 0, nat = 16, ntyp = 3
/
ATOMIC_SPECIES
Pm 145.00 Pm.upf
C 12.01 C.upf
N 14.01 N.upf
CELL_PARAMETERS angstrom
2.6022 -5.9346 0.0000
2.6022 5.9346 0.0000
0.0000 0.0000 11.9799
ATOMIC_POSITIONS angstrom
Pm 2.6022 5.3069 7.4411
Pm 2.6022 5.3069 10.5287
Pm 2.6022 2.8682 2.9950
Pm 2.6022 1.9761 6.8701
Pm 2.6022 1.9761 11.0997
Pm 2.6022 -1.9761 0.8801
Pm 2.6022 -1.9761 5.1098
Pm 2.6022 -2.8682 8.9849
Pm 2.6022 -5.3069 1.4512
Pm 2.6022 -5.3069 4.5387
C 2.6022 4.0590 0.7273
C 2.6022 4.0590 5.2626
C 2.6022 -4.0590 6.7172
C 2.6022 -4.0590 11.2526
N 2.6022 3.3574 8.9849
N 2.6022 -3.3574 2.9950


18.
! SnAsPd2C, optimized geometry, DFT PBE-GGA; values from VASP
! Space group: P4/mmm
! ΔH_f (0 K): 19.0 kcal/mol of atoms
&SYSTEM
  ibrav = 0, nat = 5, ntyp = 4
/
ATOMIC_SPECIES
Sn 118.71 Sn.upf
As 74.92 As.upf
Pd 106.42 Pd.upf
C 12.01 C.upf
CELL_PARAMETERS angstrom
4.8998 0.0000 0.0000
0.0000 4.8998 0.0000
0.0000 0.0000 3.8773
ATOMIC_POSITIONS angstrom
Sn 0.0000 0.0000 0.0000
As 2.4499 2.4499 1.9386
Pd 0.0000 2.4499 1.9386
Pd 2.4499 0.0000 1.9386
C 2.4499 2.4499 0.0000